# 1
Y4NiPd | PBE | relaxed

The calculation puts the formation enthalpy at 0 K at -0.394 eV per atom. As for the crystal system: tetragonal. The energy is -78.39 eV/cell. For the offset from the most stable computed form, the calculation gives 3 meV per atom.

The space group is P4/mcc (No. 124) and the conventional cell measures 6.883, 6.883 and 6.365 Å, with angles of 90.00, 90.00 and 90.00 degrees. The distinct sites, in fractional coordinates, are Y at (0.174, 0.313, 0.000), Ni at (0.000, 0.000, 0.250) and Pd at (0.500, 0.500, 0.250).

# 2
PmSnCl6 | PBE | relaxed

As for the crystal system: monoclinic. The energy is -63.92 eV/cell.

The space group is C2/m (No. 12) and the conventional cell measures 6.704, 12.451 and 6.702 Å, with angles of 90.00, 106.25 and 90.00 degrees. The distinct sites, in fractional coordinates, are Pm at (0.000, 0.000, 0.000), Sn at (0.000, 0.500, 0.500), Cl at (0.240, 0.356, 0.742) and Cl at (0.249, 0.500, 0.255).

# 3
K2ThUS4 | PBE | relaxed

As for the crystal system: monoclinic. The energy is -49.67 eV/cell.

The space group is P2/m (No. 10) and the conventional cell measures 7.073, 4.080 and 7.855 Å, with angles of 90.00, 107.44 and 90.00 degrees. The distinct sites, in fractional coordinates, are K at (0.000, 0.000, 0.000), K at (0.500, 0.500, 0.000), Th at (0.000, 0.500, 0.500), U at (0.500, 0.000, 0.500), S at (0.240, 0.000, 0.712) and S at (0.266, 0.500, 0.293).